Compound: CrAgAs2
Source: the Alexandria database
Functional: PBE
Structure: optimized geometry

Cell and atoms, written as POSCAR:
```
CrAgAs2
1.0
3.0462 0.0000 0.0000
0.0000 4.5738 0.0000
-1.4918 0.0000 5.0972
Cr Ag As
1 1 2
Direct
0.0000 0.0000 0.0000
0.1849 0.5000 0.3686
0.4380 0.5000 0.8940
0.7237 0.0000 0.4453
```



Compound: CrAgAs2
Source: the Alexandria database
Functional: PBE
Structure: optimized geometry

Cell and atoms, written as POSCAR:
```
CrAgAs2
1.0
6.6315 0.0000 0.0000
0.0000 6.6315 0.0000
0.0000 0.0000 6.6315
Cr Ag As
4 4 8
Direct
0.0000 0.0000 0.0000
0.0000 0.5000 0.5000
0.5000 0.0000 0.5000
0.5000 0.5000 0.0000
0.2500 0.2500 0.2500
0.2500 0.7500 0.7500
0.7500 0.2500 0.7500
0.7500 0.7500 0.2500
0.0000 0.0000 0.5000
0.0000 0.5000 0.0000
0.2500 0.2500 0.7500
0.2500 0.7500 0.2500
0.5000 0.0000 0.0000
0.5000 0.5000 0.5000
0.7500 0.2500 0.2500
0.7500 0.7500 0.7500
```



Compound: CrAg2As
Source: the Alexandria database
Functional: PBE
Structure: optimized geometry

Cell and atoms, written as POSCAR:
```
CrAg2As
1.0
3.0519 0.0000 0.0000
0.0000 5.0378 0.0000
-0.0793 0.0000 4.6481
Cr Ag As
1 2 1
Direct
0.0000 0.0000 0.0000
0.2610 0.5000 0.7527
0.7390 0.5000 0.2473
0.5000 0.0000 0.5000
```



Compound: CrAgAs
Source: the Alexandria database
Functional: PBE
Structure: optimized geometry

Cell and atoms, written as POSCAR:
```
CrAgAs
1.0
3.4023 0.0000 0.0000
0.0000 3.4023 0.0000
0.0000 0.0000 8.7873
Cr Ag As
2 2 2
Direct
0.2500 0.2500 0.2005
0.7500 0.7500 0.7995
0.2500 0.2500 0.5818
0.7500 0.7500 0.4182
0.2500 0.2500 0.8872
0.7500 0.7500 0.1128
```



Compound: Cr2AgAs
Source: the Alexandria database
Functional: PBE
Structure: optimized geometry

Cell and atoms, written as POSCAR:
```
Cr2AgAs
1.0
6.3801 0.0000 0.0000
0.0000 6.3801 0.0000
0.0000 0.0000 6.3801
Cr Ag As
8 4 4
Direct
0.0000 0.0000 0.0000
0.0000 0.5000 0.5000
0.2500 0.2500 0.2500
0.2500 0.7500 0.7500
0.5000 0.0000 0.5000
0.5000 0.5000 0.0000
0.7500 0.2500 0.7500
0.7500 0.7500 0.2500
0.0000 0.0000 0.5000
0.0000 0.5000 0.0000
0.5000 0.0000 0.0000
0.5000 0.5000 0.5000
0.2500 0.2500 0.7500
0.2500 0.7500 0.2500
0.7500 0.2500 0.2500
0.7500 0.7500 0.7500
```



Compound: CrAgAs2
Source: the Alexandria database
Functional: PBE
Structure: optimized geometry

Cell and atoms, written as POSCAR:
```
CrAgAs2
1.0
3.8812 0.0000 0.0000
0.0000 3.8812 0.0000
0.0000 0.0000 9.2967
Cr Ag As
2 2 4
Direct
0.0000 0.0000 0.0000
0.5000 0.5000 0.5000
0.0000 0.5000 0.7500
0.5000 0.0000 0.2500
0.0000 0.0000 0.5000
0.0000 0.5000 0.2500
0.5000 0.0000 0.7500
0.5000 0.5000 0.0000
```



Compound: CrAgAs2
Source: the Alexandria database
Functional: PBE
Structure: optimized geometry

Cell and atoms, written as POSCAR:
```
CrAgAs2
1.0
2.9108 0.0000 0.0000
-1.4554 2.5208 0.0000
0.0000 0.0000 30.2619
Cr Ag As
3 3 6
Direct
0.0000 0.0000 0.0000
0.3333 0.6667 0.6667
0.6667 0.3333 0.3333
0.0000 0.0000 0.2589
0.3333 0.6667 0.9256
0.6667 0.3333 0.5922
0.0000 0.0000 0.5150
0.0000 0.0000 0.7282
0.3333 0.6667 0.1817
0.3333 0.6667 0.3948
0.6667 0.3333 0.0615
0.6667 0.3333 0.8483
```



Compound: CrAgAs2
Source: the Alexandria database
Functional: PBE
Structure: optimized geometry

Cell and atoms, written as POSCAR:
```
CrAgAs2
1.0
5.8348 0.0000 0.0000
0.0000 5.8348 0.0000
0.0000 0.0000 10.9734
Cr Ag As
4 4 8
Direct
0.0000 0.0000 0.0000
0.0000 0.5000 0.2500
0.5000 0.0000 0.7500
0.5000 0.5000 0.5000
0.0000 0.0000 0.5000
0.0000 0.5000 0.7500
0.5000 0.0000 0.2500
0.5000 0.5000 0.0000
0.2073 0.2500 0.1250
0.2500 0.7073 0.3750
0.2500 0.7927 0.8750
0.2927 0.2500 0.6250
0.7073 0.7500 0.6250
0.7500 0.2073 0.8750
0.7500 0.2927 0.3750
0.7927 0.7500 0.1250
```



Compound: Cr2AgAs
Source: the Alexandria database
Functional: PBE
Structure: optimized geometry

Cell and atoms, written as POSCAR:
```
Cr2AgAs
1.0
4.3643 0.0000 0.0000
0.0000 4.3643 0.0000
0.0000 0.0000 3.4971
Cr Ag As
2 1 1
Direct
0.0000 0.5000 0.0000
0.5000 0.0000 0.0000
0.0000 0.0000 0.5000
0.5000 0.5000 0.5000
```



Compound: CrAgAs2
Source: the Alexandria database
Functional: PBE
Structure: optimized geometry

Cell and atoms, written as POSCAR:
```
CrAgAs2
1.0
3.6480 0.0000 0.0000
0.0000 3.6480 0.0000
0.0000 0.0000 5.3651
Cr Ag As
1 1 2
Direct
0.0000 0.0000 0.0000
0.5000 0.5000 0.3495
0.0000 0.0000 0.4927
0.5000 0.5000 0.8672
```



no.,formation energy (eV per formula unit)
1,0.83
2,1.79
3,1.02
4,0.32
5,1.54
6,1.00
7,1.61
8,1.23
9,1.47
10,0.73